Cs3Pr2I9: relaxed, PBE.

CIF file:
```
data_Cs3Pr2I9
_symmetry_space_group_name_H-M 'P 63/m m c'
_symmetry_Int_Tables_number 194
_symmetry_space_group_name_Hall '-P 6c 2c'
_cell_length_a 8.7211
_cell_length_b 8.7211
_cell_length_c 22.5826
_cell_angle_alpha 90.00
_cell_angle_beta 90.00
_cell_angle_gamma 120.00
loop_
_atom_site_label
_atom_site_fract_x
_atom_site_fract_y
_atom_site_fract_z
Cs1 0.0000 0.0000 0.2500
Cs2 0.3333 0.6667 0.0606
Pr1 0.3333 0.6667 0.6554
I1 0.0064 0.5032 0.7500
I2 0.1620 0.3240 0.5841
```

total DFT energy (no corrections) = -93.94 eV per cell
uncorrected formation energy = -1493 meV per atom